K2Mn: optimized geometry, PBE.

The total moment comes out at 8.9 Bohr magnetons per cell. As for the density of states at the Fermi level: 7.02 states/eV/cell. The space group is I4/mmm. The crystal system is tetragonal. Its volume is 279.2 Å³ per cell. The value obtained for the formation energy is 799 meV/atom. Its final energy is -2.990 eV/atom.

Cell lengths 3.978, 3.978, 17.644 Å; angles 90.00, 90.00, 90.00 degrees
Fractional coordinates of all 6 atoms:
K (0.000, 0.000, 0.138)
K (0.000, 0.000, 0.862)
K (0.500, 0.500, 0.362)
K (0.500, 0.500, 0.638)
Mn (0.000, 0.000, 0.500)
Mn (0.500, 0.500, 0.000)